Density functional theory data (GGA-PBE) for CdTeOF2 after structural relaxation.

abc: 4.706 4.706 4.078
angles: 90.00 90.00 90.00
Atoms (fractional coordinates):
1 F 0.000 0.500 0.000
2 F 0.500 0.000 0.000
3 Te 0.000 0.000 0.000
4 O 0.000 0.000 0.500
5 Cd 0.500 0.500 0.500

DOS(E_F): 2.0 states/eV/f.u.
Formation energy from raw total energies: -0.97 eV/atom
Density: 5.41 Mg/m³
E: -3.525 eV/atom
SG: P4/mmm, No. 123
Relative energy among the computed polymorphs: 0.000 eV per atom